Computed, not measured: a relaxed Ac6Ir2I3Br crystal at the PBE level of DFT.

Cell and atoms, written as POSCAR:
```
Ac6Ir2I3Br
1.0
7.876 0.009 0.001
-3.928 6.827 0.001
-1.315 -2.278 8.571
I Ac Ir Br
3 6 2 1
direct
0.840 0.160 0.500 I
0.500 0.500 0.500 I
0.160 0.840 0.500 I
0.936 0.565 0.809 Ac
0.064 0.435 0.191 Ac
0.435 0.064 0.191 Ac
0.307 0.307 0.811 Ac
0.565 0.936 0.809 Ac
0.693 0.693 0.189 Ac
0.333 0.667 0.000 Ir
0.667 0.333 0.000 Ir
0.000 0.000 0.000 Br
```

Output
The uncorrected energy comes out at -61.6 eV for the cell shown. The density of states at the Fermi level is 8.32 states/eV/f.u. Its total magnetization is 0.000 μB/atom. As for the space group: C2/m (12).